# 1
## NaNbReAs (PBE)

Data for crystalline NaNbReAs at its relaxed geometry.

```
4
Lattice="-0.668 0.431 4.417 -2.327 3.495 1.587 -4.097 -0.628 1.722" Properties=species:S:1:pos:R:3 pbc="T T T"
As 0.000 0.000 0.000
Na -5.319 2.473 5.795
Nb -3.546 1.649 3.863
Re -1.773 0.824 1.932
```

Results
As for the crystal system: cubic. For the volume, the calculation gives 63.94 Å³ per cell. The energy relative to the lowest polymorph listed for this composition comes out at 0.00 eV/f.u.

# 2
## NaNbReAs (PBE)

Data for crystalline NaNbReAs at its relaxed geometry.

```
4
Lattice="2.082 -1.167 3.861 2.306 3.113 2.366 -1.607 1.475 3.981" Properties=species:S:1:pos:R:3 pbc="T T T"
Re 0.000 0.000 0.000
Na 2.086 2.566 7.656
Nb 0.695 0.855 2.552
As 1.390 1.711 5.104
```

Results
As for the crystal system: cubic. For the volume, the calculation gives 66.15 Å³ per cell. The energy relative to the lowest polymorph listed for this composition comes out at 0.73 eV/f.u.

# 3
## NaNdAs (PBE)

Data for crystalline NaNdAs at its relaxed geometry.

```
9
Lattice="7.634 0.000 0.000 -3.817 6.611 0.000 0.000 0.000 4.374" Properties=species:S:1:pos:R:3 pbc="T T T"
Nd -2.266 3.925 2.187
Nd 1.551 2.686 2.187
Nd 4.533 0.000 2.187
As 3.817 2.204 0.000
As 0.000 4.407 0.000
As 0.000 0.000 2.187
Na 2.878 4.984 0.000
Na -0.939 1.627 0.000
Na 1.879 0.000 0.000
```

Results
The calculation puts the raw total energy at -38.7 eV for the cell shown. As for the crystal system: hexagonal. For the volume, the calculation gives 220.76 Å³ per cell.

# 4
## NaNdAsSe3 (PBE)

Data for crystalline NaNdAsSe3 at its relaxed geometry.

```
12
Lattice="3.021 4.872 5.133 -6.360 -2.850 -3.261 -0.399 -7.251 7.117" Properties=species:S:1:pos:R:3 pbc="T T T"
Se -0.541 -1.142 5.272
Se 1.827 2.158 5.933
Se -0.386 1.688 2.495
Se -5.565 -7.387 3.057
Se -3.197 -4.088 3.717
Se -3.353 -6.917 6.494
Nd 0.000 0.000 0.000
Nd -0.200 -3.625 3.559
As -1.395 -0.494 3.050
As -2.343 -4.735 5.939
Na -4.134 -2.748 0.600
Na 0.396 -2.481 8.390
```

Results
The calculation puts the raw total energy at -53.0 eV for the cell shown. As for the crystal system: orthorhombic. For the volume, the calculation gives 325.02 Å³ per cell.

# 5
## Na5Ni3As3 (PBE)

Data for crystalline Na5Ni3As3 at its relaxed geometry.

```
11
Lattice="8.924 0.000 0.000 -4.462 7.729 0.000 0.000 0.000 4.318" Properties=species:S:1:pos:R:3 pbc="T T T"
Na 0.000 5.152 0.000
Na 6.574 0.000 0.000
Na -3.287 5.693 0.000
Na 4.462 2.576 0.000
Na 1.175 2.035 0.000
Ni 2.841 4.921 2.159
Ni 3.242 0.000 2.159
Ni -1.621 2.808 2.159
As 3.267 0.000 0.000
As 2.829 4.899 0.000
As -1.634 2.829 0.000
```

Results
The calculation puts the raw total energy at -38.0 eV for the cell shown. As for the crystal system: hexagonal. For the volume, the calculation gives 297.80 Å³ per cell.

# 6
## NaNi2AsP (PBE)

Data for crystalline NaNi2AsP at its relaxed geometry.

```
5
Lattice="-1.976 1.976 4.844 1.976 -1.976 4.844 1.976 1.976 -4.844" Properties=species:S:1:pos:R:3 pbc="T T T"
Ni 0.000 1.976 2.361
Ni 1.976 0.000 2.361
As 0.000 0.000 3.663
Na 0.000 0.000 0.014
P 0.000 0.000 6.133
```

Results
The calculation puts the raw total energy at -24.7 eV for the cell shown. As for the crystal system: tetragonal. For the volume, the calculation gives 75.69 Å³ per cell.

# 7
## NaNiAs2Pd (PBE)

Data for crystalline NaNiAs2Pd at its relaxed geometry.

```
5
Lattice="-2.097 2.097 5.119 2.097 -2.097 5.119 2.097 2.097 -5.119" Properties=species:S:1:pos:R:3 pbc="T T T"
Ni 2.097 0.000 2.559
Na 0.000 0.000 0.000
Pd 0.000 2.097 2.559
As 0.000 0.000 6.406
As 0.000 0.000 3.832
```

Results
The calculation puts the raw total energy at -23.2 eV for the cell shown. As for the crystal system: tetragonal. For the volume, the calculation gives 90.05 Å³ per cell.

# 8
## Na2ZnNiAs2 (PBE)

Data for crystalline Na2ZnNiAs2 at its relaxed geometry.

```
6
Lattice="-3.008 -2.695 -0.022 0.728 -0.780 -3.895 4.438 -4.968 1.825" Properties=species:S:1:pos:R:3 pbc="T T T"
Ni 0.000 0.000 0.000
As 3.856 -4.300 -0.511
As -0.558 -2.406 0.378
Na 1.388 -4.585 1.178
Na 1.910 -2.121 -1.312
Zn -1.140 -1.738 -1.958
```

Results
The calculation puts the raw total energy at -20.8 eV for the cell shown. As for the crystal system: tetragonal. For the volume, the calculation gives 112.63 Å³ per cell.

# 9
## NaZnNiAs (PBE)

Data for crystalline NaZnNiAs at its relaxed geometry.

```
4
Lattice="-1.729 -3.143 2.692 -0.220 0.710 4.423 -3.974 0.672 1.969" Properties=species:S:1:pos:R:3 pbc="T T T"
Na -4.443 -1.321 6.813
As -1.481 -0.440 2.271
Ni -2.962 -0.881 4.542
Zn 0.000 0.000 0.000
```

Results
As for the crystal system: cubic. For the volume, the calculation gives 63.81 Å³ per cell. The energy relative to the lowest polymorph listed for this composition comes out at 0.44 eV/f.u.

# 10
## NaZnNiAs (PBE)

Data for crystalline NaZnNiAs at its relaxed geometry.

```
4
Lattice="0.000 3.184 3.184 3.184 0.000 3.184 3.184 3.184 0.000" Properties=species:S:1:pos:R:3 pbc="T T T"
As 0.000 0.000 0.000
Na 4.776 4.776 4.776
Zn 1.592 1.592 1.592
Ni 3.184 3.184 3.184
```

Results
As for the crystal system: cubic. For the volume, the calculation gives 64.54 Å³ per cell. The energy relative to the lowest polymorph listed for this composition comes out at 0.69 eV/f.u.